Here is a geometry-optimized Sr6Pt2SeI3 structure from the Alexandria database. Energies are from PBE-GGA.

abc: 7.8357 7.8357 8.5174
angles: 98.88 98.88 119.98
Sites, in units of the cell vectors:
1 Sr 0.7227 0.7227 0.1968
2 Sr 0.0658 0.4091 0.1980
3 Sr 0.5909 0.9342 0.8020
4 Sr 0.9342 0.5909 0.8020
5 Sr 0.2773 0.2773 0.8032
6 Sr 0.4091 0.0658 0.1980
7 Se 0.0000 0.0000 0.0000
8 Pt 0.6670 0.3330 0.0000
9 Pt 0.3330 0.6670 0.0000
10 I 0.1622 0.8378 0.5000
11 I 0.5000 0.5000 0.5000
12 I 0.8378 0.1622 0.5000

formation energy (no corrections): -1.2766 eV per atom